The following is a DFT calculation (PBE) of a relaxed CoPS crystal.

CIF file:
```
data_CoPS
_cell_length_a 7.398
_cell_length_b 3.250
_cell_length_c 4.205
_cell_angle_alpha 90.00
_cell_angle_beta 102.44
_cell_angle_gamma 90.00
_space_group_name_H-M_alt 'C 1 m 1'
_space_group_IT_number 8
loop_
_space_group_symop_operation_xyz
'x,y,z'
'x,-y,z'
'x+1/2,y+1/2,z'
'x+1/2,-y+1/2,z'
loop_
_atom_site_label
_atom_site_type_symbol
_atom_site_fract_x
_atom_site_fract_y
_atom_site_fract_z
Co1 Co 0.000 0.000 0.000
P1 P 0.300 0.000 0.921
S1 S 0.079 0.000 0.526
```

Results
The calculation puts the uncorrected formation energy at -0.17 eV/atom. As for the density of states at the Fermi level: 2.188 states/eV/f.u. Its crystal system is monoclinic. For the energy, the calculation gives -5.72 eV per atom. Its volume is 16.5 Å³ per atom.